Model one:
HfPWCl2 | PBE | optimized geometry

## Properties
As for the crystal system: tetragonal. The density of states at the Fermi level is 0.4070 states/eV per atom.

Lattice parameters (Å, degrees): 4.796 4.796 5.287 90.00 90.00 90.00
Space group P4/mmm (No. 123)
Inequivalent atoms, fractional coordinates:
Hf 0.000 0.000 0.000
P 0.000 0.000 0.500
W 0.500 0.500 0.500
Cl 0.000 0.500 0.000

Model two:
HfPWCl2 | PBE | optimized geometry

## Properties
As for the crystal system: tetragonal. The density of states at the Fermi level is 1.1701 states/eV per atom.

Lattice parameters (Å, degrees): 4.631 4.631 4.954 90.00 90.00 90.00
Space group P4/mmm (No. 123)
Inequivalent atoms, fractional coordinates:
Hf 0.000 0.000 0.000
P 0.500 0.500 0.000
W 0.500 0.500 0.500
Cl 0.000 0.500 0.500

Ranked by calculated energy, most stable first: model one, model two.

Model one:
YHfPCl2 | PBE | optimized geometry

## Properties
As for the crystal system: tetragonal. The density of states at the Fermi level is 0.7473 states/eV per atom.

Lattice parameters (Å, degrees): 4.804 4.804 5.209 90.00 90.00 90.00
Space group P4/mmm (No. 123)
Inequivalent atoms, fractional coordinates:
Y 0.000 0.000 0.000
Hf 0.500 0.500 0.500
P 0.500 0.500 0.000
Cl 0.000 0.500 0.500

Model two:
YHfPCl2 | PBE | optimized geometry

## Properties
As for the crystal system: tetragonal. The density of states at the Fermi level is 0.9505 states/eV per atom.

Lattice parameters (Å, degrees): 4.993 4.993 5.700 90.00 90.00 90.00
Space group P4/mmm (No. 123)
Inequivalent atoms, fractional coordinates:
Y 0.000 0.000 0.000
Hf 0.500 0.500 0.500
P 0.000 0.000 0.500
Cl 0.000 0.500 0.000

Ranked by calculated energy, most stable first: model one, model two.

Model one:
HfZnP2Cl | PBE | optimized geometry

## Properties
As for the crystal system: tetragonal. The density of states at the Fermi level is 0.8444 states/eV per atom.

Lattice parameters (Å, degrees): 5.039 5.039 4.923 90.00 90.00 90.00
Space group P4/mmm (No. 123)
Inequivalent atoms, fractional coordinates:
Hf 0.000 0.000 0.000
Zn 0.500 0.500 0.500
P 0.000 0.500 0.000
Cl 0.000 0.000 0.500

Model two:
HfZnP2Cl | PBE | optimized geometry

## Properties
As for the crystal system: tetragonal. The density of states at the Fermi level is 0.5909 states/eV per atom.

Lattice parameters (Å, degrees): 4.596 4.596 4.646 90.00 90.00 90.00
Space group P4/mmm (No. 123)
Inequivalent atoms, fractional coordinates:
Hf 0.000 0.000 0.000
Zn 0.500 0.500 0.500
P 0.000 0.500 0.500
Cl 0.500 0.500 0.000

Ranked by calculated energy, most stable first: model one, model two.

Model one:
HfZnPCl2 | PBE | optimized geometry

## Properties
As for the crystal system: tetragonal. The density of states at the Fermi level is 0.3245 states/eV per atom.

Lattice parameters (Å, degrees): 4.935 4.935 5.163 90.00 90.00 90.00
Space group P4/mmm (No. 123)
Inequivalent atoms, fractional coordinates:
Hf 0.000 0.000 0.000
Zn 0.500 0.500 0.500
P 0.000 0.000 0.500
Cl 0.000 0.500 0.000

Model two:
HfZnPCl2 | PBE | optimized geometry

## Properties
As for the crystal system: tetragonal. The density of states at the Fermi level is 0.4783 states/eV per atom.

Lattice parameters (Å, degrees): 4.448 4.448 5.454 90.00 90.00 90.00
Space group P4/mmm (No. 123)
Inequivalent atoms, fractional coordinates:
Hf 0.000 0.000 0.000
Zn 0.500 0.500 0.500
P 0.500 0.500 0.000
Cl 0.000 0.500 0.500

Ranked by calculated energy, most stable first: model one, model two.

Model one:
HfZrP2Cl | PBE | optimized geometry

## Properties
As for the crystal system: tetragonal. The density of states at the Fermi level is 0.7977 states/eV per atom.

Lattice parameters (Å, degrees): 5.046 5.046 4.693 90.00 90.00 90.00
Space group P4/mmm (No. 123)
Inequivalent atoms, fractional coordinates:
Hf 0.000 0.000 0.000
Zr 0.500 0.500 0.500
P 0.000 0.500 0.500
Cl 0.500 0.500 0.000

Model two:
HfZrP2Cl | PBE | optimized geometry

## Properties
As for the crystal system: tetragonal. The density of states at the Fermi level is 1.0313 states/eV per atom.

Lattice parameters (Å, degrees): 5.004 5.004 4.674 90.00 90.00 90.00
Space group P4/mmm (No. 123)
Inequivalent atoms, fractional coordinates:
Hf 0.000 0.000 0.000
Zr 0.500 0.500 0.500
P 0.000 0.500 0.000
Cl 0.000 0.000 0.500

Ranked by calculated energy, most stable first: model two, model one.

Model one:
HfPb3Cl | PBE | optimized geometry

## Properties
As for the crystal system: cubic. The density of states at the Fermi level is 1.0121 states/eV per atom.

Lattice parameters (Å, degrees): 5.395 5.395 5.395 90.00 90.00 90.00
Space group Pm-3m (No. 221)
Inequivalent atoms, fractional coordinates:
Hf 0.000 0.000 0.000
Pb 0.000 0.500 0.500
Cl 0.500 0.500 0.500

Model two:
HfPb3Cl | PBE | optimized geometry

## Properties
As for the crystal system: cubic. The density of states at the Fermi level is 0.9512 states/eV per atom.

Lattice parameters (Å, degrees): 5.685 5.685 5.685 90.00 90.00 90.00
Space group Pm-3m (No. 221)
Inequivalent atoms, fractional coordinates:
Hf 0.000 0.000 0.000
Pb 0.000 0.000 0.500
Cl 0.500 0.500 0.500

Ranked by calculated energy, most stable first: model two, model one.

Model one:
HfPbCl3 | PBE | optimized geometry

## Properties
As for the crystal system: cubic. The density of states at the Fermi level is 1.2150 states/eV per atom.

Lattice parameters (Å, degrees): 5.625 5.625 5.625 90.00 90.00 90.00
Space group Pm-3m (No. 221)
Inequivalent atoms, fractional coordinates:
Hf 0.000 0.000 0.000
Pb 0.500 0.500 0.500
Cl 0.000 0.500 0.500

Model two:
HfPbCl3 | PBE | optimized geometry

## Properties
As for the crystal system: cubic. The density of states at the Fermi level is 0.6990 states/eV per atom.

Lattice parameters (Å, degrees): 5.033 5.033 5.033 90.00 90.00 90.00
Space group Pm-3m (No. 221)
Inequivalent atoms, fractional coordinates:
Hf 0.000 0.000 0.000
Pb 0.500 0.500 0.500
Cl 0.000 0.000 0.500

Ranked by calculated energy, most stable first: model two, model one.

Model one:
HfPbS2Cl | PBE | optimized geometry

## Properties
As for the crystal system: tetragonal. The density of states at the Fermi level is 1.2362 states/eV per atom.

Lattice parameters (Å, degrees): 5.219 5.219 5.144 90.00 90.00 90.00
Space group P4/mmm (No. 123)
Inequivalent atoms, fractional coordinates:
Hf 0.000 0.000 0.000
Pb 0.500 0.500 0.500
S 0.000 0.500 0.500
Cl 0.500 0.500 0.000

Model two:
HfPbS2Cl | PBE | optimized geometry

## Properties
As for the crystal system: tetragonal. The density of states at the Fermi level is 0.6450 states/eV per atom.

Lattice parameters (Å, degrees): 4.984 4.984 4.945 90.00 90.00 90.00
Space group P4/mmm (No. 123)
Inequivalent atoms, fractional coordinates:
Hf 0.000 0.000 0.000
Pb 0.500 0.500 0.500
S 0.000 0.500 0.000
Cl 0.000 0.000 0.500

Model three:
HfPbS2Cl | PBE | optimized geometry

## Properties
As for the crystal system: tetragonal. The density of states at the Fermi level is 0.4812 states/eV per atom.

Lattice parameters (Å, degrees): 4.740 4.740 5.225 90.00 90.00 90.00
Space group P4/mmm (No. 123)
Inequivalent atoms, fractional coordinates:
Hf 0.000 0.000 0.000
Pb 0.500 0.500 0.000
S 0.000 0.500 0.500
Cl 0.500 0.500 0.500

Ranked by calculated energy, most stable first: model two, model one, model three.